[1]
DFT (GGA-PBE) results for a geometry-optimized CeSc5S6 structure.

Geometry as extended XYZ:
```
12
Lattice="3.250 -5.636 0.000 3.250 5.636 0.000 -2.188 0.000 6.111" Properties=species:S:1:pos:R:3 pbc="T T T"
Ce 0.000 0.000 0.000
Sc 2.156 3.780 3.056
Sc 3.250 1.890 0.000
Sc 2.156 0.000 3.056
Sc 3.250 -1.890 0.000
Sc 2.156 -3.780 3.056
S 1.122 1.956 1.581
S 0.073 0.000 4.541
S 1.122 -1.956 1.581
S 3.190 1.956 4.530
S 4.239 0.000 1.571
S 3.190 -1.956 4.530
```

uncorrected formation energy = -1879 meV per atom
density of states at the Fermi level = 0.7954 states/eV per atom

=====

[2]
DFT (GGA-PBE) results for a geometry-optimized CeScS structure.

Geometry as extended XYZ:
```
3
Lattice="4.489 0.000 0.000 -2.245 3.888 0.000 0.000 0.000 3.832" Properties=species:S:1:pos:R:3 pbc="T T T"
Ce 0.000 0.000 0.000
Sc 0.000 2.592 1.916
S 2.245 1.296 1.916
```

uncorrected formation energy = -803 meV per atom
density of states at the Fermi level = 2.0107 states/eV per atom

=====

[3]
DFT (GGA-PBE) results for a geometry-optimized Ce3ScS6 structure.

Geometry as extended XYZ:
```
20
Lattice="6.060 3.499 3.919 -6.060 3.499 3.919 0.000 -6.997 3.919" Properties=species:S:1:pos:R:3 pbc="T T T"
Ce -4.062 -1.117 5.927
Ce -1.064 -4.076 5.829
Ce -2.998 2.959 5.829
Ce 2.998 -2.959 5.927
Ce 1.064 4.076 5.927
Ce 4.062 1.117 5.829
Sc 0.000 0.000 0.000
Sc 0.000 0.000 5.878
S -3.806 -3.842 6.595
S -5.230 1.375 5.161
S -1.509 -1.642 4.577
S 1.424 -5.217 5.161
S -0.667 2.128 4.577
S -2.176 0.486 7.180
S 2.176 -0.486 4.577
S 0.667 -2.128 7.180
S -1.424 5.217 6.595
S 1.509 1.642 7.180
S 5.230 -1.375 6.595
S 3.805 3.842 5.161
```

uncorrected formation energy = -1942 meV per atom
density of states at the Fermi level = 1.8218 states/eV per atom